No. 1
{
  "formula": "K2AgPbCl6",
  "functional": "PBE",
  "state": "relaxed",
  "lattice_angstrom": [[7.3325, 0.0000, 0.0000], [-0.0252, 7.4157, 0.0000], [-0.0021, -0.0650, 10.7132]],
  "species": ["Ag", "Ag", "Cl", "Cl", "Cl", "Cl", "Cl", "Cl", "Cl", "Cl", "Cl", "Cl", "Cl", "Cl", "K", "K", "K", "K", "Pb", "Pb"],
  "frac_coords": [[0.4499, 0.5501, 0.0000], [0.9502, 0.0500, 0.5000], [0.9335, 0.0131, 0.2549], [0.1389, 0.3724, 0.0213], [0.9665, 0.0869, 0.7451], [0.2730, 0.8604, 0.9917], [0.7739, 0.3606, 0.4918], [0.2615, 0.2274, 0.4787], [0.1265, 0.7393, 0.5082], [0.6264, 0.2397, 0.0084], [0.7607, 0.7282, 0.9787], [0.6392, 0.8720, 0.5213], [0.4669, 0.5867, 0.2451], [0.4332, 0.5130, 0.7549], [0.9376, 0.5688, 0.2499], [0.4388, 0.0682, 0.7498], [0.9620, 0.5318, 0.7500], [0.4616, 0.0312, 0.2501], [0.9499, 0.0503, 0.0000], [0.4501, 0.5498, 0.5000]],
  "spacegroup": "P-1",
  "de_polymorph_mev_per_atom": 8
}


No. 2
{
  "formula": "K2AgPbCl6",
  "functional": "PBE",
  "state": "relaxed",
  "lattice_angstrom": [[-3.6759, 3.6759, 5.3853], [3.6759, -3.6759, 5.3853], [3.6759, 3.6759, -5.3853]],
  "species": ["K", "K", "Cl", "Cl", "Cl", "Cl", "Cl", "Cl", "Pb", "Ag"],
  "frac_coords": [[0.7500, 0.2500, 0.5000], [0.2500, 0.7500, 0.5000], [0.2543, 0.2543, 0.0000], [0.7457, 0.7457, 0.0000], [0.3241, 0.8112, 0.1352], [0.8112, 0.6759, 0.4871], [0.6759, 0.1888, 0.8648], [0.1888, 0.3241, 0.5129], [0.0000, 0.0000, 0.0000], [0.5000, 0.5000, 0.0000]],
  "spacegroup": "I4/m",
  "de_polymorph_mev_per_atom": 10
}


No. 3
{
  "formula": "K2AgPbCl6",
  "functional": "PBE",
  "state": "relaxed",
  "lattice_angstrom": [[3.7691, 2.1761, 6.1695], [-3.7691, 2.1761, 6.1695], [0.0000, -4.3521, 6.1695]],
  "species": ["Cl", "Cl", "Cl", "Cl", "Cl", "Cl", "Ag", "K", "K", "Pb"],
  "frac_coords": [[0.2536, 0.2575, 0.7448], [0.2575, 0.7448, 0.2536], [0.2552, 0.7464, 0.7425], [0.7425, 0.2552, 0.7464], [0.7448, 0.2536, 0.2575], [0.7464, 0.7425, 0.2552], [0.5000, 0.5000, 0.5000], [0.2499, 0.2499, 0.2499], [0.7501, 0.7501, 0.7501], [0.0000, 0.0000, 0.0000]],
  "spacegroup": "R-3",
  "de_polymorph_mev_per_atom": 27
}


No. 4
{
  "formula": "K2AgPbCl6",
  "functional": "PBE",
  "state": "relaxed",
  "lattice_angstrom": [[-2.9709, -4.5971, -4.8479], [2.7431, -5.8217, 3.8395], [-5.7706, 4.2202, 10.5217]],
  "species": ["Cl", "Cl", "Cl", "Cl", "Cl", "Cl", "Cl", "Cl", "Cl", "Cl", "Cl", "Cl", "K", "K", "K", "K", "Pb", "Pb", "Ag", "Ag"],
  "frac_coords": [[0.8566, 0.2959, 0.0479], [0.8566, 0.2041, 0.5479], [0.3357, 0.9807, 0.2431], [0.6643, 0.0193, 0.7569], [0.2539, 0.1923, 0.9550], [0.7461, 0.8077, 0.0450], [0.7461, 0.6923, 0.5450], [0.1434, 0.7041, 0.9521], [0.1434, 0.7959, 0.4521], [0.6643, 0.4807, 0.2569], [0.2539, 0.3077, 0.4550], [0.3357, 0.5193, 0.7431], [0.2293, 0.9308, 0.7487], [0.2293, 0.5692, 0.2487], [0.7707, 0.0692, 0.2513], [0.7707, 0.4308, 0.7513], [0.5000, 0.0000, 0.5000], [0.5000, 0.5000, 0.0000], [0.0000, 0.0000, 0.0000], [0.0000, 0.5000, 0.5000]],
  "spacegroup": "P2_1/c",
  "de_polymorph_mev_per_atom": 0
}


Calculated energy (eV/cell), listed in the same order as above: -64.5 -32.2 -32.1 -64.7